A relaxed SmCo12Si6 crystal. Source: Alexandria, functional PBE.

E (eV per atom): -6.82
Volume (Å³ per atom): 12.62
Total moment (Bohr magnetons per cell): 17.4
N(E_F) (states/eV/f.u.): 18.48

a b c (Å): 10.3439 10.3439 7.7660
angles (deg): 90.00 90.00 120.00
Space group R-3m (No. 166, hexagonal axes)
Inequivalent atoms, fractional coordinates:
Sm1 0.0000 0.0000 0.0000 [3 per cell]
Co1 0.0000 0.3702 0.5000 [18 per cell]
Co2 0.0871 0.1741 0.3536 [18 per cell]
Si1 0.0348 0.5174 0.2753 [18 per cell]